Pm6In2Ir | PBE | optimized geometry

## Properties
Total magnetization ... 0.00 μB per formula unit
Formation energy ... -0.422 eV/atom
Uncorrected energy ... -46.64 eV/cell

Cell and atoms, written as extended XYZ:
```
9
Lattice="3.9187 0.0000 0.0000 0.0000 8.8527 0.0000 0.0000 -4.4264 7.6657" Properties=species:S:1:pos:R:3 pbc="T T T"
Pm 0.0000 2.1508 0.0000
Pm 1.9593 5.3599 0.0000
In 0.0000 -0.0003 5.1097
Pm 1.9593 1.7457 3.0237
In 0.0000 4.4261 2.5560
Pm 1.9593 6.1721 4.6420
Ir 1.9593 0.0017 0.0000
Pm 0.0000 7.7776 1.8604
Pm 0.0000 3.3513 5.8053
```